SrLaIn3: relaxed, PBE.

Space group ... No. 221
Size of the total moment ... 0.000 μB/atom
Electronic total energy ... -13.543 eV per formula unit
Energy relative to the elements ... 256 meV per atom

Unit cell a=5.982 b=5.982 c=5.982 alpha=90.00 beta=90.00 gamma=90.00
Element x y z (fractional)
Sr 0.000 0.000 0.000
La 0.500 0.500 0.500
In 0.000 0.500 0.500
In 0.500 0.000 0.500
In 0.500 0.500 0.000